# 1
The following is a PBE-GGA calculation of SnPAu after structural relaxation, from the Alexandria database.

It has space group P3m1 (No. 156), with a = 4.2319 Å, b = 4.2319 Å, c = 4.2883 Å, α = 90.00°, β = 90.00° and γ = 120.00°. The inequivalent atoms are Sn at (0.0000, 0.0000, 0.0000), P at (0.3333, 0.6667, 0.4975) and Au at (0.6667, 0.3333, 0.5920).

As for the calculated total energy: -4.18 eV per atom. Its energy relative to the elements is 0.05 eV/atom. As for the energy above the most stable polymorph in this dataset: 0 meV per atom.

# 2
The following is a PBE-GGA calculation of Sn6PAu3 after structural relaxation, from the Alexandria database.

It has space group P2_1/c (No. 14), with a = 6.903 Å, b = 6.861 Å, c = 11.815 Å, α = 90.00°, β = 118.91° and γ = 90.00°. The inequivalent atoms are Sn at (0.081, 0.039, 0.254), Sn at (0.217, 0.135, 0.600), Sn at (0.410, 0.655, 0.594), P at (0.000, 0.000, 0.000), Au at (0.342, 0.684, 0.307) and Au at (0.500, 0.000, 0.500).

As for the calculated total energy: -3.98 eV per atom. Its energy relative to the elements is -0.06 eV/atom.

# 3
The following is a PBE-GGA calculation of Sn3PAu after structural relaxation, from the Alexandria database.

It has space group P2_1/m (No. 11), with a = 7.655 Å, b = 4.057 Å, c = 8.946 Å, α = 90.00°, β = 111.92° and γ = 90.00°. The inequivalent atoms are Sn at (0.153, 0.250, 0.101), Sn at (0.274, 0.750, 0.452), Sn at (0.331, 0.750, 0.836), P at (0.037, 0.250, 0.338) and Au at (0.437, 0.750, 0.204).

As for the calculated total energy: -4.16 eV per atom. Its energy relative to the elements is -0.03 eV/atom. As for the energy above the most stable polymorph in this dataset: 0 meV per atom.